w.
The following is a GGA-PBE calculation of a relaxed structure of LaZrTa3, from the Alexandria database. Values from VASP.

```
&SYSTEM
  ibrav = 0, nat = 5, ntyp = 3
/
ATOMIC_SPECIES
La 138.91 La.upf
Ta 180.95 Ta.upf
Zr 91.22 Zr.upf
CELL_PARAMETERS angstrom
-3.5544 2.3099 -2.5232
-3.4174 -2.2358 2.7673
0.1522 3.7418 3.2111
ATOMIC_POSITIONS crystal
La 0.0000 0.0000 0.0000
Ta 0.0000 0.0000 0.5000
Zr 0.5000 0.5000 0.5000
Ta 0.5000 0.0000 0.0000
Ta 0.0000 0.5000 0.0000
```

magnetic moment = 0.0 μB per formula unit
crystal system = cubic
space-group type = Pm-3m

=====

x.
The following is a GGA-PBE calculation of a relaxed structure of LaZrTa3, from the Alexandria database. Values from VASP.

```
&SYSTEM
  ibrav = 0, nat = 5, ntyp = 3
/
ATOMIC_SPECIES
Zr 91.22 Zr.upf
Ta 180.95 Ta.upf
La 138.91 La.upf
CELL_PARAMETERS angstrom
-2.5218 -2.6790 3.4474
4.2055 -0.4208 2.7493
-1.1731 4.2506 2.4450
ATOMIC_POSITIONS crystal
Zr 0.0000 0.0000 0.0000
Ta 0.0000 0.0000 0.5000
Ta 0.0000 0.5000 0.0000
Ta 0.5000 0.0000 0.0000
La 0.5000 0.5000 0.5000
```

magnetic moment = 0.0 μB per formula unit
crystal system = cubic
space-group type = Pm-3m

=====

The computed energies, referenced to the most stable structure and given in meV/atom, are w 554; x 0.

=====

w.
The following is a GGA-PBE calculation of a relaxed structure of LaZr3Ta, from the Alexandria database. Values from VASP.

```
&SYSTEM
  ibrav = 0, nat = 5, ntyp = 3
/
ATOMIC_SPECIES
Ta 180.95 Ta.upf
Zr 91.22 Zr.upf
La 138.91 La.upf
CELL_PARAMETERS angstrom
-2.8036 3.5107 -2.3325
-4.1229 -1.7020 2.3940
0.8761 3.2255 3.8019
ATOMIC_POSITIONS crystal
Ta 0.5000 0.5000 0.5000
Zr 0.0000 0.5000 0.0000
Zr 0.0000 0.0000 0.5000
Zr 0.5000 0.0000 0.0000
La 0.0000 0.0000 0.0000
```

magnetic moment = 0.8 μB per formula unit
crystal system = cubic
space-group type = Pm-3m

=====

x.
The following is a GGA-PBE calculation of a relaxed structure of LaZr3Ta, from the Alexandria database. Values from VASP.

```
&SYSTEM
  ibrav = 0, nat = 5, ntyp = 3
/
ATOMIC_SPECIES
Ta 180.95 Ta.upf
La 138.91 La.upf
Zr 91.22 Zr.upf
CELL_PARAMETERS angstrom
5.2459 0.0000 0.0000
0.0000 5.2459 0.0000
0.0000 0.0000 5.2459
ATOMIC_POSITIONS crystal
Ta 0.0000 0.0000 0.0000
La 0.5000 0.5000 0.5000
Zr 0.5000 0.0000 0.0000
Zr 0.0000 0.5000 0.0000
Zr 0.0000 0.0000 0.5000
```

magnetic moment = 0.0 μB per formula unit
crystal system = cubic
space-group type = Pm-3m

=====

The computed energies, referenced to the most stable structure and given in meV/atom, are w 979; x 0.

=====

w.
The following is a GGA-PBE calculation of a relaxed structure of La3Tb13, from the Alexandria database. Values from VASP.

```
&SYSTEM
  ibrav = 0, nat = 16, ntyp = 2
/
ATOMIC_SPECIES
Tb 158.93 Tb.upf
La 138.91 La.upf
CELL_PARAMETERS angstrom
7.1894 -0.0004 0.0000
-0.0261 7.1893 0.0000
0.0000 0.0000 10.1903
ATOMIC_POSITIONS crystal
Tb 0.4985 0.5015 0.2525
Tb 0.2515 0.2522 0.0000
Tb 0.4985 0.5015 0.7475
Tb 0.2530 0.7470 0.5000
Tb 0.7478 0.2522 0.5000
Tb 0.4995 0.9995 0.2519
Tb 0.7481 0.7473 0.5000
Tb 0.4995 0.9995 0.7481
Tb 0.7478 0.7485 0.0000
Tb 0.2527 0.7473 0.0000
La 0.0012 0.9988 0.7496
Tb 0.0005 0.5005 0.2519
La 0.7472 0.2528 0.0000
Tb 0.0005 0.5005 0.7481
Tb 0.2527 0.2519 0.5000
La 0.0012 0.9988 0.2504
```

magnetic moment = 0.0 μB per formula unit
crystal system = orthorhombic
space-group type = Amm2

=====

x.
The following is a GGA-PBE calculation of a relaxed structure of La3Tb13, from the Alexandria database. Values from VASP.

```
&SYSTEM
  ibrav = 0, nat = 16, ntyp = 2
/
ATOMIC_SPECIES
Tb 158.93 Tb.upf
La 138.91 La.upf
CELL_PARAMETERS angstrom
7.3164 0.0000 0.0000
0.0000 8.5113 -0.8741
0.0000 0.0639 8.5558
ATOMIC_POSITIONS crystal
Tb 0.7502 0.5435 0.4565
Tb 0.2511 0.4620 0.0451
Tb 0.5000 0.7890 0.2110
Tb 0.7489 0.9549 0.5380
Tb 0.0000 0.7889 0.2111
Tb 0.0000 0.7072 0.7894
Tb 0.0000 0.2106 0.2928
La 0.7475 0.0399 0.9601
Tb 0.5000 0.2938 0.7062
Tb 0.2511 0.9549 0.5380
Tb 0.5000 0.7035 0.7867
La 0.2525 0.0399 0.9601
Tb 0.7489 0.4620 0.0451
La 0.0000 0.2930 0.7070
Tb 0.5000 0.2133 0.2965
Tb 0.2498 0.5435 0.4565
```

magnetic moment = 0.0 μB per formula unit
crystal system = orthorhombic
space-group type = Amm2

=====

The computed energies, referenced to the most stable structure and given in meV/atom, are w 0; x 6.

=====

w.
The following is a GGA-PBE calculation of a relaxed structure of La4Tb, from the Alexandria database. Values from VASP.

```
&SYSTEM
  ibrav = 0, nat = 5, ntyp = 2
/
ATOMIC_SPECIES
La 138.91 La.upf
Tb 158.93 Tb.upf
CELL_PARAMETERS angstrom
5.9409 0.0000 0.0000
0.0000 5.9409 0.0000
0.0000 0.0000 5.9409
ATOMIC_POSITIONS crystal
La 0.5000 0.0000 0.5000
Tb 0.5000 0.5000 0.5000
La 0.5000 0.5000 0.0000
La 0.0000 0.5000 0.5000
La 0.0000 0.0000 0.0000
```

magnetic moment = 0.6 μB per formula unit
crystal system = cubic
space-group type = Pm-3m

=====

x.
The following is a GGA-PBE calculation of a relaxed structure of La4Tb, from the Alexandria database. Values from VASP.

```
&SYSTEM
  ibrav = 0, nat = 5, ntyp = 2
/
ATOMIC_SPECIES
La 138.91 La.upf
Tb 158.93 Tb.upf
CELL_PARAMETERS angstrom
3.7130 0.0000 0.0000
0.0000 3.7130 0.0000
-1.8565 -1.8565 12.9840
ATOMIC_POSITIONS crystal
La 0.1982 0.1982 0.3965
La 0.4025 0.4025 0.8050
La 0.8018 0.8018 0.6035
La 0.5975 0.5975 0.1950
Tb 0.0000 0.0000 0.0000
```

magnetic moment = 0.0 μB per formula unit
crystal system = tetragonal
space-group type = I4/mmm

=====

The computed energies, referenced to the most stable structure and given in meV/atom, are w 534; x 0.

=====

w.
The following is a GGA-PBE calculation of a relaxed structure of La3Tb2, from the Alexandria database. Values from VASP.

```
&SYSTEM
  ibrav = 0, nat = 10, ntyp = 2
/
ATOMIC_SPECIES
Tb 158.93 Tb.upf
La 138.91 La.upf
CELL_PARAMETERS angstrom
6.9520 0.0000 0.0000
3.4760 6.0206 0.0000
3.4760 2.0069 8.8165
ATOMIC_POSITIONS crystal
Tb 0.3101 0.3101 0.0696
La 0.2152 0.2848 0.7500
Tb 0.6899 0.6899 0.9304
La 0.7152 0.2500 0.2500
Tb 0.1899 0.1899 0.4304
La 0.7848 0.7152 0.2500
La 0.2848 0.7500 0.7500
Tb 0.8101 0.8101 0.5696
La 0.2500 0.7848 0.2500
La 0.7500 0.2152 0.7500
```

magnetic moment = 0.0 μB per formula unit
crystal system = trigonal
space-group type = R-3c

=====

x.
The following is a GGA-PBE calculation of a relaxed structure of La3Tb2, from the Alexandria database. Values from VASP.

```
&SYSTEM
  ibrav = 0, nat = 5, ntyp = 2
/
ATOMIC_SPECIES
La 138.91 La.upf
Tb 158.93 Tb.upf
CELL_PARAMETERS angstrom
3.6651 0.0000 0.0000
1.8326 3.1741 0.0000
1.8326 1.0580 14.9814
ATOMIC_POSITIONS crystal
La 0.5000 0.5000 0.5000
La 0.0978 0.0978 0.7066
Tb 0.3017 0.3017 0.0949
Tb 0.6983 0.6983 0.9051
La 0.9022 0.9022 0.2934
```

magnetic moment = 0.0 μB per formula unit
crystal system = trigonal
space-group type = R-3m

=====

The computed energies, referenced to the most stable structure and given in meV/atom, are w 231; x 0.

=====

w.
The following is a GGA-PBE calculation of a relaxed structure of LaTb2, from the Alexandria database. Values from VASP.

```
&SYSTEM
  ibrav = 0, nat = 3, ntyp = 2
/
ATOMIC_SPECIES
Tb 158.93 Tb.upf
La 138.91 La.upf
CELL_PARAMETERS angstrom
3.6505 0.0007 0.0036
1.8236 2.9965 1.0242
-0.0086 -0.8093 8.9385
ATOMIC_POSITIONS crystal
Tb 0.2853 0.4408 0.8322
La 0.5053 0.0007 0.4944
Tb 0.7253 0.5606 0.1567
```

magnetic moment = 0.0 μB per formula unit
crystal system = monoclinic
space-group type = C2/m

=====

x.
The following is a GGA-PBE calculation of a relaxed structure of LaTb2, from the Alexandria database. Values from VASP.

```
&SYSTEM
  ibrav = 0, nat = 6, ntyp = 2
/
ATOMIC_SPECIES
La 138.91 La.upf
Tb 158.93 Tb.upf
CELL_PARAMETERS angstrom
6.7034 0.0000 0.0000
3.3517 5.8053 0.0000
3.3517 1.9351 5.4733
ATOMIC_POSITIONS crystal
La 0.0000 0.0000 0.0000
La 0.2500 0.2500 0.2500
Tb 0.6250 0.1250 0.6250
Tb 0.1250 0.6250 0.6250
Tb 0.6250 0.6250 0.1250
Tb 0.6250 0.6250 0.6250
```

magnetic moment = 0.8 μB per formula unit
crystal system = cubic
space-group type = Fd-3m

=====

The computed energies, referenced to the most stable structure and given in meV/atom, are w 0; x 271.